Record 1
Material: Ce3In2Au4
Method: DFT, GGA-PBE
State: optimized geometry

Output
E_form   -631 meV per atom
Space-group type   No. 12

abc: 4.870 6.014 9.134
angles: 117.35 90.00 113.88
Element x y z (fractional)
Ce  0.345  0.691  0.322
Ce  0.655  0.309  0.678
Ce  0.000  0.000  0.000
Au  0.068  0.137  0.401
Au  0.281  0.563  0.944
Au  0.719  0.437  0.056
Au  0.932  0.863  0.599
In  0.368  0.737  0.702
In  0.632  0.263  0.298

***

Record 2
Material: PmHo6Er2Sc
Method: DFT, GGA-PBE
State: optimized geometry

Output
E_form   129 meV per atom
Space-group type   No. 15

abc: 9.312 8.667 8.667
angles: 117.05 93.30 93.30
Element x y z (fractional)
Er  0.550  0.203  0.308
Er  0.450  0.797  0.692
Er  0.050  0.308  0.203
Er  0.950  0.692  0.797
Ho  0.386  0.511  0.292
Ho  0.688  0.005  0.560
Ho  0.886  0.292  0.511
Ho  0.056  0.126  0.755
Ho  0.188  0.560  0.005
Ho  0.614  0.489  0.708
Ho  0.556  0.755  0.126
Ho  0.812  0.440  0.995
Ho  0.114  0.708  0.489
Ho  0.444  0.245  0.874
Ho  0.312  0.995  0.440
Ho  0.944  0.874  0.245
Sc  0.750  0.586  0.414
Sc  0.250  0.414  0.586
Pm  0.750  0.026  0.974
Pm  0.250  0.974  0.026

***

Record 3
Material: Hf6AlGa2
Method: DFT, GGA-PBE
State: optimized geometry

Output
E_form   -172 meV per atom
Space-group type   No. 14

abc: 5.368 7.953 8.685
angles: 90.00 84.01 90.00
Element x y z (fractional)
Ga  0.091  0.624  0.244
Ga  0.409  0.124  0.256
Ga  0.591  0.876  0.744
Ga  0.909  0.376  0.756
Hf  0.910  0.666  0.565
Hf  0.433  0.816  0.440
Hf  0.090  0.334  0.435
Hf  0.410  0.834  0.065
Hf  0.395  0.529  0.689
Hf  0.067  0.316  0.060
Hf  0.605  0.471  0.311
Hf  0.895  0.971  0.189
Hf  0.590  0.166  0.935
Hf  0.105  0.029  0.811
Hf  0.567  0.184  0.560
Hf  0.933  0.684  0.940
Al  0.000  0.000  0.500
Al  0.500  0.500  0.000

***

Record 4
Material: CsSrAs
Method: DFT, GGA-PBE
State: optimized geometry

Output
E_form   -585 meV per atom
Space-group type   No. 8

abc: 19.729 8.189 8.189
angles: 147.43 152.12 27.88
Element x y z (fractional)
As  0.065  0.849  0.151
As  0.572  0.568  0.432
Cs  0.975  0.272  0.728
Cs  0.352  0.143  0.857
Sr  0.827  0.698  0.302
Sr  0.415  0.346  0.654

***

Record 5
Material: Rb2LiUS6
Method: DFT, GGA-PBE
State: optimized geometry

Output
Space-group type   No. 12
ΔE_f (raw)   -876 meV per atom

abc: 7.196 7.210 7.284
angles: 59.55 59.73 90.03
Element x y z (fractional)
S  0.750  0.750  0.996
S  0.252  0.748  0.000
S  0.748  0.252  0.000
S  0.250  0.250  0.004
S  0.749  0.750  0.504
S  0.251  0.250  0.496
U  0.500  0.500  0.000
Li  0.000  0.000  0.000
Rb  0.748  0.252  0.501
Rb  0.252  0.748  0.499

***

Record 6
Material: Tm2ZrSc3
Method: DFT, GGA-PBE
State: optimized geometry

Output
E_form   40 meV per atom
Energy relative to the lowest polymorph listed for this composition   0.0000 eV/atom
Space-group type   No. 74

abc: 4.656 9.450 8.814
angles: 122.42 74.68 90.00
Element x y z (fractional)
Sc  0.592  0.039  0.316
Sc  0.092  0.277  0.316
Sc  0.750  0.634  0.000
Sc  0.908  0.723  0.684
Sc  0.408  0.961  0.684
Sc  0.250  0.366  0.000
Zr  0.750  0.115  0.000
Zr  0.250  0.885  0.000
Tm  0.414  0.465  0.673
Tm  0.914  0.208  0.673
Tm  0.086  0.792  0.327
Tm  0.586  0.535  0.327

***

Record 7
Material: Rb3NpBi2Se6
Method: DFT, GGA-PBE
State: optimized geometry

Output
Space-group type   No. 12
ΔE_f (raw)   -929 meV per atom

abc: 7.547 7.547 8.398
angles: 98.60 98.60 120.00
Element x y z (fractional)
Se  0.396  0.067  0.201
Se  0.933  0.604  0.799
Se  0.262  0.262  0.799
Se  0.604  0.933  0.799
Se  0.067  0.396  0.201
Se  0.738  0.738  0.201
Rb  0.831  0.169  0.500
Rb  0.169  0.831  0.500
Rb  0.500  0.500  0.500
Bi  0.666  0.334  0.000
Bi  0.334  0.666  0.000
Np  0.000  0.000  0.000

***

Record 8
Material: Tl2CdSb
Method: DFT, GGA-PBE
State: optimized geometry

Output
Energy relative to the lowest polymorph listed for this composition   0.0479 eV/atom
Space-group type   No. 10
ΔE_f (raw)   54 meV per atom

abc: 5.384 3.213 7.430
angles: 65.02 90.00 90.00
Element x y z (fractional)
Sb  0.500  0.750  0.750
Tl  0.000  0.848  0.003
Tl  0.000  0.652  0.497
Cd  0.500  0.250  0.250

***

Record 9
Material: MgTl2Tc
Method: DFT, GGA-PBE
State: optimized geometry

Output
E_form   417 meV per atom
Energy relative to the lowest polymorph listed for this composition   0.0214 eV/atom
Space-group type   No. 44

abc: 5.710 5.710 5.710
angles: 142.80 133.11 61.31
Element x y z (fractional)
Mg  0.479  0.479  0.000
Tl  0.751  0.251  0.500
Tl  0.017  0.017  0.000
Tc  0.254  0.754  0.500

***

Record 10
Material: Ta3VRu2
Method: DFT, GGA-PBE
State: optimized geometry

Output
E_form   -342 meV per atom
Energy relative to the lowest polymorph listed for this composition   0.0000 eV/atom
Space-group type   No. 65

abc: 4.473 7.073 6.336
angles: 90.00 90.00 71.57
Element x y z (fractional)
Ta  0.832  0.337  0.756
Ta  0.168  0.663  0.244
Ta  0.500  0.000  0.755
Ta  0.169  0.663  0.756
Ta  0.831  0.337  0.244
Ta  0.500  0.000  0.245
V  0.666  0.668  0.000
V  0.334  0.332  0.000
Ru  0.335  0.331  0.500
Ru  0.000  0.000  0.500
Ru  0.000  0.000  0.000
Ru  0.665  0.669  0.500

***

Record 11
Material: YMg14Mn
Method: DFT, GGA-PBE
State: optimized geometry

Output
E_form   48 meV per atom
Energy relative to the lowest polymorph listed for this composition   0.0047 eV/atom
Space-group type   No. 187

abc: 6.458 6.458 10.198
angles: 90.00 90.00 120.00
Element x y z (fractional)
Mg  0.013  0.506  0.500
Mg  0.164  0.836  0.762
Mg  0.494  0.506  0.500
Mg  0.164  0.328  0.238
Mg  0.667  0.333  0.739
Mg  0.672  0.836  0.762
Mg  0.995  0.497  0.000
Mg  0.164  0.836  0.238
Mg  0.494  0.987  0.500
Mg  0.503  0.005  0.000
Mg  0.667  0.333  0.261
Mg  0.672  0.836  0.238
Mg  0.503  0.497  0.000
Mg  0.164  0.328  0.762
Y  0.000  0.000  0.500
Mn  0.000  0.000  0.000

***

Record 12
Material: Re2POs
Method: DFT, GGA-PBE
State: optimized geometry

Output
E_form   516 meV per atom
Space-group type   No. 35

abc: 2.785 2.785 8.411
angles: 90.00 90.00 117.29
Element x y z (fractional)
Re  0.500  0.500  0.752
Re  0.000  0.000  0.021
P  0.500  0.500  0.252
Os  0.000  0.000  0.476

***

Record 13
Material: Cs2CrSb2
Method: DFT, GGA-PBE
State: optimized geometry

Output
Space-group type   No. 127
ΔE_f (raw)   -42 meV per atom

abc: 7.429 7.429 6.491
angles: 90.00 90.00 90.00
Element x y z (fractional)
Cr  0.500  0.500  0.000
Cr  0.000  0.000  0.000
Cs  0.828  0.328  0.500
Cs  0.172  0.672  0.500
Cs  0.672  0.828  0.500
Cs  0.328  0.172  0.500
Sb  0.641  0.141  0.000
Sb  0.859  0.641  0.000
Sb  0.359  0.859  0.000
Sb  0.141  0.359  0.000

***

Record 14
Material: ScCdRe
Method: DFT, GGA-PBE
State: optimized geometry

Output
E_form   1132 meV per atom
Energy relative to the lowest polymorph listed for this composition   0.9306 eV/atom
Space-group type   No. 216

abc: 4.575 4.575 4.575
angles: 60.00 60.00 60.00
Element x y z (fractional)
Cd  0.000  0.000  0.000
Re  0.500  0.500  0.500
Sc  0.750  0.750  0.750

***

Record 15
Material: Pm6Ge3F
Method: DFT, GGA-PBE
State: optimized geometry

Output
Space-group type   No. 14
ΔE_f (raw)   -985 meV per atom

abc: 6.560 7.984 10.122
angles: 90.00 90.48 90.00
Element x y z (fractional)
Pm  0.345  0.829  0.062
Pm  0.360  0.812  0.436
Pm  0.150  0.045  0.761
Pm  0.655  0.171  0.938
Pm  0.850  0.955  0.239
Pm  0.650  0.455  0.261
Pm  0.155  0.329  0.438
Pm  0.640  0.188  0.564
Pm  0.350  0.545  0.739
Pm  0.860  0.688  0.936
Pm  0.845  0.671  0.562
Pm  0.140  0.312  0.064
F  0.500  0.500  0.500
F  0.000  0.000  0.000
Ge  0.072  0.618  0.248
Ge  0.500  0.500  0.000
Ge  0.572  0.882  0.748
Ge  0.000  0.000  0.500
Ge  0.928  0.382  0.752
Ge  0.428  0.118  0.252

***

Record 16
Material: Ba2Li15In2
Method: DFT, GGA-PBE
State: optimized geometry

Output
E_form   -72 meV per atom
Space-group type   No. 166

abc: 7.771 7.771 7.771
angles: 84.42 84.42 84.42
Element x y z (fractional)
Li  0.263  0.000  0.737
Li  0.341  0.341  0.879
Li  0.659  0.121  0.659
Li  0.879  0.341  0.341
Li  0.000  0.500  0.000
Li  0.000  0.000  0.500
Li  0.121  0.659  0.659
Li  0.341  0.879  0.341
Li  0.000  0.263  0.737
Li  0.737  0.263  0.000
Li  0.263  0.737  0.000
Li  0.737  0.000  0.263
Li  0.000  0.737  0.263
Li  0.500  0.000  0.000
Li  0.659  0.659  0.121
Ba  0.350  0.350  0.350
Ba  0.650  0.650  0.650
In  0.894  0.894  0.894
In  0.106  0.106  0.106

***

Record 17
Material: Li2Zn2I
Method: DFT, GGA-PBE
State: optimized geometry

Output
Energy relative to the lowest polymorph listed for this composition   0.0348 eV/atom
Space-group type   No. 139
ΔE_f (raw)   -47 meV per atom

abc: 4.508 4.508 6.687
angles: 70.30 70.30 90.00
Element x y z (fractional)
Li  0.750  0.250  0.500
Li  0.250  0.750  0.500
I  0.000  0.000  0.000
Zn  0.606  0.606  0.788
Zn  0.394  0.394  0.212

***

Record 18
Material: TeOsRu2
Method: DFT, GGA-PBE
State: optimized geometry

Output
Space-group type   No. 166
ΔE_f (raw)   562 meV per atom

abc: 8.702 8.702 8.702
angles: 19.48 19.48 19.48
Element x y z (fractional)
Te  0.250  0.250  0.250
Os  0.750  0.750  0.750
Ru  0.499  0.499  0.499
Ru  0.001  0.001  0.001

***

Record 19
Material: CaNbPd2O
Method: DFT, GGA-PBE
State: optimized geometry

Output
Space-group type   No. 123
ΔE_f (raw)   -142 meV per atom

abc: 4.497 4.286 4.497
angles: 90.00 90.00 90.00
Element x y z (fractional)
O  0.000  0.000  0.000
Nb  0.500  0.500  0.500
Pd  0.000  0.000  0.500
Pd  0.500  0.000  0.000
Ca  0.000  0.500  0.000

***

Record 20
Material: NaZrZn4
Method: DFT, GGA-PBE
State: optimized geometry

Output
E_form   -26 meV per atom
Space-group type   No. 216

abc: 5.282 5.282 5.282
angles: 60.00 60.00 60.00
Element x y z (fractional)
Zn  0.626  0.626  0.121
Zn  0.626  0.121  0.626
Zn  0.121  0.626  0.626
Zn  0.626  0.626  0.626
Zr  0.000  0.000  0.000
Na  0.250  0.250  0.250

***

no.,total magnetization (μB/f.u.)
1,2.89
2,0.00
3,0.00
4,0.00
5,0.00
6,0.00
7,4.00
8,0.00
9,0.00
10,0.00
11,4.32
12,0.00
13,4.00
14,1.69
15,1.06
16,0.00
17,0.00
18,0.00
19,2.70
20,0.00